# 1
Below is an optimized crystal structure of CdPt2Br, with properties calculated at the PBE level.

Cell lengths 6.702, 6.702, 6.702 Å; angles 90.00, 90.00, 90.00 degrees
Space group F-43m (No. 216)
Inequivalent atoms, fractional coordinates:
Cd  0.000  0.000  0.000 (multiplicity 4)
Pt  0.000  0.000  0.500 (multiplicity 4)
Pt  0.250  0.250  0.250 (multiplicity 4)
Br  0.250  0.250  0.750 (multiplicity 4)

Results
relative energy among the computed polymorphs = 0.341 eV/atom
total DFT energy (no corrections) = -3.298 eV per atom
V = 18.814 Å³/atom

# 2
Below is an optimized crystal structure of CdPtBr2, with properties calculated at the PBE level.

Cell lengths 3.576, 7.526, 9.085 Å; angles 90.00, 90.00, 90.00 degrees
Space group Cmm2 (No. 35)
Inequivalent atoms, fractional coordinates:
Cd  0.000  0.000  0.000 (multiplicity 2)
Pt  0.000  0.500  0.775 (multiplicity 2)
Br  0.000  0.000  0.594 (multiplicity 2)
Br  0.000  0.500  0.217 (multiplicity 2)

Results
relative energy among the computed polymorphs = 0.094 eV/atom
total DFT energy (no corrections) = -2.686 eV per atom
V = 30.567 Å³/atom

# 3
Below is an optimized crystal structure of Cd2PtBr, with properties calculated at the PBE level.

Cell lengths 7.165, 4.124, 7.152 Å; angles 90.00, 110.15, 90.00 degrees
Space group C2/m (No. 12)
Inequivalent atoms, fractional coordinates:
Cd  0.235  0.000  0.198 (multiplicity 4)
Pt  0.000  0.500  0.000 (multiplicity 2)
Br  0.000  0.000  0.500 (multiplicity 2)

Results
relative energy among the computed polymorphs = 0.079 eV/atom
total DFT energy (no corrections) = -2.592 eV per atom
V = 24.802 Å³/atom

# 4
Below is an optimized crystal structure of Cd2PtBr, with properties calculated at the PBE level.

Cell lengths 3.412, 7.144, 8.770 Å; angles 90.00, 90.00, 90.00 degrees
Space group Immm (No. 71)
Inequivalent atoms, fractional coordinates:
Cd  0.000  0.000  0.237 (multiplicity 4)
Pt  0.000  0.500  0.500 (multiplicity 2)
Br  0.000  0.500  0.000 (multiplicity 2)

Results
relative energy among the computed polymorphs = 0.330 eV/atom
total DFT energy (no corrections) = -2.341 eV per atom
V = 26.721 Å³/atom

# 5
Below is an optimized crystal structure of Cd3PtBr, with properties calculated at the PBE level.

Cell lengths 5.362, 5.362, 5.362 Å; angles 90.00, 90.00, 90.00 degrees
Space group Pm-3m (No. 221)
Inequivalent atoms, fractional coordinates:
Cd  0.000  0.000  0.500 (multiplicity 3)
Pt  0.500  0.500  0.500 (multiplicity 1)
Br  0.000  0.000  0.000 (multiplicity 1)

Results
relative energy among the computed polymorphs = 1.099 eV/atom
total DFT energy (no corrections) = -1.171 eV per atom
V = 30.835 Å³/atom

# 6
Below is an optimized crystal structure of Cd2PtBr, with properties calculated at the PBE level.

Cell lengths 3.431, 3.355, 7.885 Å; angles 90.00, 90.06, 90.00 degrees
Space group P2/m (No. 10)
Inequivalent atoms, fractional coordinates:
Cd  0.001  0.000  0.199 (multiplicity 2)
Pt  0.500  0.500  0.000 (multiplicity 1)
Br  0.000  0.500  0.500 (multiplicity 1)

Results
relative energy among the computed polymorphs = 0.006 eV/atom
total DFT energy (no corrections) = -2.665 eV per atom
V = 22.696 Å³/atom

# 7
Below is an optimized crystal structure of Cd2PtBr, with properties calculated at the PBE level.

Cell lengths 5.128, 5.128, 3.163 Å; angles 90.00, 90.00, 90.00 degrees
Space group P4/mmm (No. 123)
Inequivalent atoms, fractional coordinates:
Cd  0.000  0.500  0.000 (multiplicity 2)
Pt  0.000  0.000  0.500 (multiplicity 1)
Br  0.500  0.500  0.500 (multiplicity 1)

Results
relative energy among the computed polymorphs = 0.194 eV/atom
total DFT energy (no corrections) = -2.477 eV per atom
V = 20.793 Å³/atom

# 8
Below is an optimized crystal structure of CdPt2Br, with properties calculated at the PBE level.

Cell lengths 4.144, 4.144, 4.300 Å; angles 90.00, 90.00, 90.00 degrees
Space group P4/mmm (No. 123)
Inequivalent atoms, fractional coordinates:
Cd  0.000  0.000  0.000 (multiplicity 1)
Pt  0.000  0.500  0.500 (multiplicity 2)
Br  0.500  0.500  0.000 (multiplicity 1)

Results
relative energy among the computed polymorphs = 0.306 eV/atom
total DFT energy (no corrections) = -3.334 eV per atom
V = 18.460 Å³/atom